PBE-GGA Ca3TePt, relaxed; crystal system = cubic; ΔE to the lowest computed polymorph = 0 meV/atom
1.0
5.513 0.000 0.000
0.000 5.513 0.000
0.000 0.000 5.513
Ca Te Pt
3 1 1
Cartesian
0.000 2.757 0.000
0.000 0.000 2.757
2.757 0.000 0.000
2.757 2.757 2.757
0.000 0.000 0.000

***

PBE-GGA CaTe2Pt2, relaxed; crystal system = tetragonal; ΔE to the lowest computed polymorph = 97 meV/atom
1.0
-1.874 -3.522 1.429
2.481 0.074 3.435
-4.216 1.973 5.616
Ca Te Pt
1 2 2
Cartesian
0.000 0.000 0.000
-0.785 -0.834 3.199
-2.825 -0.642 7.282
-2.893 -1.637 4.739
-0.716 0.161 5.742

***

Let's list formation energy from raw total energies in order: -0.792; -0.459 eV/atom.